No. 1
DFT (PBE) results for an optimized crystal structure of ThTlCdHg.

The space group is F-43m (No. 216) and the conventional cell measures 7.4868, 7.4868 and 7.4868 Å, with angles of 90.00, 90.00 and 90.00 degrees. Symmetry generates all atoms from Th at (0.0000, 0.0000, 0.0000), Tl at (0.2500, 0.2500, 0.7500), Cd at (0.0000, 0.0000, 0.5000) and Hg at (0.2500, 0.2500, 0.2500).

For the total energy, the calculation gives -2.85 eV/atom.



No. 2
DFT (PBE) results for an optimized crystal structure of ThTlCdHg.

The space group is P4/nmm (No. 129, origin choice 2) and the conventional cell measures 4.7168, 4.7168 and 9.6307 Å, with angles of 90.00, 90.00 and 90.00 degrees. Symmetry generates all atoms from Th at (0.2500, 0.2500, 0.2489), Tl at (0.2500, 0.7500, 0.5000), Cd at (0.2500, 0.7500, 0.0000) and Hg at (0.2500, 0.2500, 0.7914).

For the total energy, the calculation gives -2.80 eV/atom.



No. 3
DFT (PBE) results for an optimized crystal structure of TmThCdHg.

The space group is F-43m (No. 216) and the conventional cell measures 7.5545, 7.5545 and 7.5545 Å, with angles of 90.00, 90.00 and 90.00 degrees. Symmetry generates all atoms from Tm at (0.0000, 0.0000, 0.0000), Th at (0.0000, 0.0000, 0.5000), Cd at (0.2500, 0.2500, 0.7500) and Hg at (0.2500, 0.2500, 0.2500).

For the total energy, the calculation gives -3.50 eV/atom.



No. 4
DFT (PBE) results for an optimized crystal structure of TmThCd2Hg4.

The space group is R-3m (No. 166, hexagonal axes) and the conventional cell measures 5.1138, 5.1138 and 25.4574 Å, with angles of 90.00, 90.00 and 120.00 degrees. Symmetry generates all atoms from Tm at (0.0000, 0.0000, 0.0000), Th at (0.0000, 0.0000, 0.5000), Cd at (0.0000, 0.0000, 0.2498), Hg at (0.0000, 0.0000, 0.1199) and Hg at (0.0000, 0.0000, 0.3715).

For the total energy, the calculation gives -2.15 eV/atom.



No. 5
DFT (PBE) results for an optimized crystal structure of ThZnCdHg.

The space group is F-43m (No. 216) and the conventional cell measures 7.2161, 7.2161 and 7.2161 Å, with angles of 90.00, 90.00 and 90.00 degrees. Symmetry generates all atoms from Th at (0.0000, 0.0000, 0.0000), Zn at (0.2500, 0.2500, 0.2500), Cd at (0.0000, 0.0000, 0.5000) and Hg at (0.2500, 0.2500, 0.7500).

For the total energy, the calculation gives -2.66 eV/atom.



No. 6
DFT (PBE) results for an optimized crystal structure of TiCd3Hg.

The space group is Pm-3m (No. 221) and the conventional cell measures 5.5619, 5.5619 and 5.5619 Å, with angles of 90.00, 90.00 and 90.00 degrees. Symmetry generates all atoms from Ti at (0.0000, 0.0000, 0.0000), Cd at (0.0000, 0.0000, 0.5000) and Hg at (0.5000, 0.5000, 0.5000).

For the total energy, the calculation gives -1.52 eV/atom.



No. 7
DFT (PBE) results for an optimized crystal structure of Ti2CdHg.

The space group is F-43m (No. 216) and the conventional cell measures 6.7617, 6.7617 and 6.7617 Å, with angles of 90.00, 90.00 and 90.00 degrees. Symmetry generates all atoms from Ti at (0.0000, 0.0000, 0.0000), Ti at (0.2500, 0.2500, 0.2500), Cd at (0.0000, 0.0000, 0.5000) and Hg at (0.2500, 0.2500, 0.7500).

For the total energy, the calculation gives -4.10 eV/atom.



No. 8
DFT (PBE) results for an optimized crystal structure of Ti2CdHg.

The space group is I-42d (No. 122) and the conventional cell measures 7.6335, 7.6335 and 5.6453 Å, with angles of 90.00, 90.00 and 90.00 degrees. Symmetry generates all atoms from Ti at (0.2423, 0.7500, 0.1250), Cd at (0.0000, 0.0000, 0.5000) and Hg at (0.0000, 0.0000, 0.0000).

For the total energy, the calculation gives -3.84 eV/atom.



No. 9
DFT (PBE) results for an optimized crystal structure of Ti3CdHg.

The space group is Pm-3m (No. 221) and the conventional cell measures 4.9961, 4.9961 and 4.9961 Å, with angles of 90.00, 90.00 and 90.00 degrees. Symmetry generates all atoms from Ti at (0.0000, 0.0000, 0.5000), Cd at (0.5000, 0.5000, 0.5000) and Hg at (0.0000, 0.0000, 0.0000).

For the total energy, the calculation gives -3.96 eV/atom.



No. 10
DFT (PBE) results for an optimized crystal structure of Ti2CdHg2.

The space group is P4/mbm (No. 127) and the conventional cell measures 8.0455, 8.0455 and 3.2314 Å, with angles of 90.00, 90.00 and 90.00 degrees. Symmetry generates all atoms from Ti at (0.1148, 0.3852, 0.0000), Cd at (0.0000, 0.0000, 0.0000) and Hg at (0.1801, 0.6801, 0.5000).

For the total energy, the calculation gives -3.30 eV/atom.



No. 11
DFT (PBE) results for an optimized crystal structure of TiCd2Hg.

The space group is R-3m (No. 166, hexagonal axes) and the conventional cell measures 3.0475, 3.0475 and 33.1906 Å, with angles of 90.00, 90.00 and 120.00 degrees. Symmetry generates all atoms from Ti at (0.0000, 0.0000, 0.0000), Cd at (0.0000, 0.0000, 0.0858) and Hg at (0.0000, 0.0000, 0.5000).

For the total energy, the calculation gives -2.16 eV/atom.



No. 12
DFT (PBE) results for an optimized crystal structure of TiCd3Hg.

The space group is Pm-3m (No. 221) and the conventional cell measures 5.2908, 5.2908 and 5.2908 Å, with angles of 90.00, 90.00 and 90.00 degrees. Symmetry generates all atoms from Ti at (0.0000, 0.0000, 0.0000), Cd at (0.0000, 0.5000, 0.5000) and Hg at (0.5000, 0.5000, 0.5000).

For the total energy, the calculation gives -1.39 eV/atom.



No. 13
DFT (PBE) results for an optimized crystal structure of TiCd2Hg.

The space group is Cm (No. 8) and the conventional cell measures 5.3779, 3.0975 and 10.2409 Å, with angles of 90.00, 100.20 and 90.00 degrees. Symmetry generates all atoms from Ti at (0.0000, 0.0000, 0.0000), Cd at (0.0870, 0.5000, 0.7609), Cd at (0.4128, 0.0000, 0.2378) and Hg at (0.1666, 0.0000, 0.4995).

For the total energy, the calculation gives -2.41 eV/atom.



No. 14
DFT (PBE) results for an optimized crystal structure of TiCd2Hg.

The space group is P4/mmm (No. 123) and the conventional cell measures 4.2651, 4.2651 and 4.4684 Å, with angles of 90.00, 90.00 and 90.00 degrees. Symmetry generates all atoms from Ti at (0.0000, 0.0000, 0.0000), Cd at (0.0000, 0.5000, 0.5000) and Hg at (0.5000, 0.5000, 0.0000).

For the total energy, the calculation gives -2.48 eV/atom.



No. 15
DFT (PBE) results for an optimized crystal structure of Ti2CdHg2.

The space group is P4/mbm (No. 127) and the conventional cell measures 7.8232, 7.8232 and 3.2847 Å, with angles of 90.00, 90.00 and 90.00 degrees. Symmetry generates all atoms from Ti at (0.1681, 0.3319, 0.0000), Cd at (0.0000, 0.0000, 0.5000) and Hg at (0.1320, 0.6320, 0.5000).

For the total energy, the calculation gives -3.34 eV/atom.



No. 16
DFT (PBE) results for an optimized crystal structure of TiCd2Hg2.

The space group is P4/mbm (No. 127) and the conventional cell measures 8.1114, 8.1114 and 3.3757 Å, with angles of 90.00, 90.00 and 90.00 degrees. Symmetry generates all atoms from Ti at (0.0000, 0.0000, 0.0000), Cd at (0.1262, 0.3738, 0.0000) and Hg at (0.1768, 0.6768, 0.5000).

For the total energy, the calculation gives -1.79 eV/atom.



No. 17
DFT (PBE) results for an optimized crystal structure of Ti2CdHg.

The space group is P4/mmm (No. 123) and the conventional cell measures 4.2509, 4.2509 and 4.1693 Å, with angles of 90.00, 90.00 and 90.00 degrees. Symmetry generates all atoms from Ti at (0.0000, 0.5000, 0.0000), Cd at (0.0000, 0.0000, 0.5000) and Hg at (0.5000, 0.5000, 0.5000).

For the total energy, the calculation gives -4.25 eV/atom.



No. 18
DFT (PBE) results for an optimized crystal structure of Ti2CdHg.

The space group is P4/mmm (No. 123) and the conventional cell measures 3.3653, 3.3653 and 6.6514 Å, with angles of 90.00, 90.00 and 90.00 degrees. Symmetry generates all atoms from Ti at (0.0000, 0.0000, 0.2488), Cd at (0.5000, 0.5000, 0.5000) and Hg at (0.5000, 0.5000, 0.0000).

For the total energy, the calculation gives -4.19 eV/atom.



No. 19
DFT (PBE) results for an optimized crystal structure of Ti2CdHg.

The space group is C2/m (No. 12) and the conventional cell measures 10.1270, 3.0929 and 10.2192 Å, with angles of 90.00, 103.85 and 90.00 degrees. Symmetry generates all atoms from Ti at (0.1192, 0.0000, 0.4358), Ti at (0.1200, 0.5000, 0.6606), Cd at (0.1202, 0.0000, 0.9216) and Hg at (0.1363, 0.5000, 0.1994).

For the total energy, the calculation gives -4.24 eV/atom.



No. 20
DFT (PBE) results for an optimized crystal structure of Ti2CdHg.

The space group is Fm-3m (No. 225) and the conventional cell measures 6.7020, 6.7020 and 6.7020 Å, with angles of 90.00, 90.00 and 90.00 degrees. Symmetry generates all atoms from Ti at (0.2500, 0.2500, 0.2500), Cd at (0.0000, 0.0000, 0.0000) and Hg at (0.0000, 0.0000, 0.5000).

For the total energy, the calculation gives -4.19 eV/atom.



No. 21
DFT (PBE) results for an optimized crystal structure of Ti2CdHg.

The space group is R-3m (No. 166, hexagonal axes) and the conventional cell measures 4.6019, 4.6019 and 21.5104 Å, with angles of 90.00, 90.00 and 120.00 degrees. Symmetry generates all atoms from Ti at (0.0000, 0.0000, 0.1357), Cd at (0.0000, 0.0000, 0.0000) and Hg at (0.0000, 0.0000, 0.5000).

For the total energy, the calculation gives -3.44 eV/atom.



No. 22
DFT (PBE) results for an optimized crystal structure of TiCd2Hg.

The space group is I-42d (No. 122) and the conventional cell measures 7.8667, 7.8667 and 5.8350 Å, with angles of 90.00, 90.00 and 90.00 degrees. Symmetry generates all atoms from Ti at (0.0000, 0.0000, 0.0000), Cd at (0.2500, 0.2503, 0.3750) and Hg at (0.0000, 0.0000, 0.5000).

For the total energy, the calculation gives -2.19 eV/atom.



No. 23
DFT (PBE) results for an optimized crystal structure of TiCd2Hg2.

The space group is P4/mbm (No. 127) and the conventional cell measures 7.8535, 7.8535 and 3.6591 Å, with angles of 90.00, 90.00 and 90.00 degrees. Symmetry generates all atoms from Ti at (0.0000, 0.0000, 0.0000), Cd at (0.1661, 0.3339, 0.5000) and Hg at (0.1382, 0.6382, 0.0000).

For the total energy, the calculation gives -1.82 eV/atom.



No. 24
DFT (PBE) results for an optimized crystal structure of Ti3CdHg.

The space group is Pm-3m (No. 221) and the conventional cell measures 4.9502, 4.9502 and 4.9502 Å, with angles of 90.00, 90.00 and 90.00 degrees. Symmetry generates all atoms from Ti at (0.0000, 0.0000, 0.5000), Cd at (0.0000, 0.0000, 0.0000) and Hg at (0.5000, 0.5000, 0.5000).

For the total energy, the calculation gives -3.84 eV/atom.



No. 25
DFT (PBE) results for an optimized crystal structure of TiCd2Hg.

The space group is P4/mmm (No. 123) and the conventional cell measures 3.0399, 3.0399 and 8.9586 Å, with angles of 90.00, 90.00 and 90.00 degrees. Symmetry generates all atoms from Ti at (0.0000, 0.0000, 0.0000), Cd at (0.5000, 0.5000, 0.2328) and Hg at (0.0000, 0.0000, 0.5000).

For the total energy, the calculation gives -2.45 eV/atom.



No. 26
DFT (PBE) results for an optimized crystal structure of Ti2CdHg.

The space group is P2_1/m (No. 11) and the conventional cell measures 4.0665, 4.2035 and 9.0124 Å, with angles of 90.00, 90.20 and 90.00 degrees. Symmetry generates all atoms from Ti at (0.0018, 0.2500, 0.1078), Ti at (0.4984, 0.2500, 0.8924), Cd at (0.0036, 0.7500, 0.3694) and Hg at (0.4965, 0.7500, 0.6457).

For the total energy, the calculation gives -4.30 eV/atom.



No. 27
DFT (PBE) results for an optimized crystal structure of TiCdHgW2.

The space group is P4/mmm (No. 123) and the conventional cell measures 4.9838, 4.9838 and 4.8784 Å, with angles of 90.00, 90.00 and 90.00 degrees. Symmetry generates all atoms from Ti at (0.0000, 0.0000, 0.0000), Cd at (0.5000, 0.5000, 0.0000), Hg at (0.0000, 0.0000, 0.5000) and W at (0.0000, 0.5000, 0.5000).

For the total energy, the calculation gives -4.72 eV/atom.